The following is a DFT calculation (GGA-PBE) of a relaxed Ca2CoAs2 crystal.

Properties
spin magnetization	1.3	μB/cell
DFT total energy	-0.172	hartree per atom
N(E_F)	6.499	states/eV/cell

```
data_Ca2CoAs2
_chemical_formula_sum 'Ca4 Co2 As4'
_cell_length_a 6.659
_cell_length_b 6.659
_cell_length_c 4.521
_cell_angle_alpha 90.00
_cell_angle_beta 90.00
_cell_angle_gamma 90.00
_symmetry_space_group_name_H-M 'P 4/m b m'
_symmetry_Int_Tables_number 127
_symmetry_space_group_name_Hall '-P 4 2ab'
loop_
_atom_site_label
_atom_site_type_symbol
_atom_site_fract_x
_atom_site_fract_y
_atom_site_fract_z
Ca1 Ca 0.170 0.330 0.000
Co1 Co 0.000 0.000 0.500
As1 As 0.145 0.645 0.500
```